A PBEsol-optimized structure of TaBe2Au. Source: Alexandria, functional meta-GGA SCAN.

## Properties
- symmetry = No. 12
- raw total energy (eV/atom) = -36.09
- calculated formation energy (eV/atom) = 0.0211

```
TaBe2Au
1.0
-0.8934 -1.9036 2.1380
-1.1007 -1.2024 -3.6336
4.6940 -1.6254 0.5143
Ta Be Au
1 2 1
direct
0.0000 0.0000 0.5000 Ta
0.2413 0.4825 0.1879 Be
0.7587 0.5175 0.8121 Be
0.5000 0.0000 0.0000 Au
```



A PBEsol-optimized structure of Ac2TlCd. Source: Alexandria, functional meta-GGA SCAN.

## Properties
- symmetry = No. 225
- raw total energy (eV/atom) = -71.41
- calculated formation energy (eV/atom) = -0.4792

```
Ac2TlCd
1.0
-0.9011 -2.3830 5.0904
-3.0734 -4.7743 0.4036
2.5411 -4.9167 1.3308
Tl Cd Ac
1 1 2
direct
0.0000 0.0000 0.0000 Tl
0.5000 0.5000 0.5000 Cd
0.2500 0.2500 0.2500 Ac
0.7500 0.7500 0.7500 Ac
```



A PBEsol-optimized structure of Cd2TcNi. Source: Alexandria, functional meta-GGA SCAN.

## Properties
- symmetry = No. 166
- raw total energy (eV/atom) = -27.62
- calculated formation energy (eV/atom) = 0.3926

```
Cd2TcNi
1.0
2.8073 0.0000 0.0000
1.4037 2.4312 0.0000
1.4037 0.8104 9.0652
Cd Ni Tc
2 1 1
direct
0.2453 0.2453 0.2642 Cd
0.7547 0.7547 0.7358 Cd
0.5000 0.5000 0.5000 Ni
0.0000 0.0000 0.0000 Tc
```



Which formula does entry 1 have? TaBe2Au



Copy entry 2 word for word.
A PBEsol-optimized structure of Ac2TlCd. Source: Alexandria, functional meta-GGA SCAN.

## Properties
- symmetry = No. 225
- raw total energy (eV/atom) = -71.41
- calculated formation energy (eV/atom) = -0.4792

```
Ac2TlCd
1.0
-0.9011 -2.3830 5.0904
-3.0734 -4.7743 0.4036
2.5411 -4.9167 1.3308
Tl Cd Ac
1 1 2
direct
0.0000 0.0000 0.0000 Tl
0.5000 0.5000 0.5000 Cd
0.2500 0.2500 0.2500 Ac
0.7500 0.7500 0.7500 Ac
```



The highest raw total energy belongs to which entry? Cd2TcNi